(1)
This record from Alexandria via LeMat-Bulk describes a relaxed structure of AlCd2Re. The functional is PBE-GGA.

## Properties
- Total magnetization: 0.0 μB per formula unit
- Raw total energy: -16.5 eV/cell
- Energy of formation from the pure elements: 1.49 eV per formula unit
- Fermi-level density of states: 2.17 states/eV per cell

Cell: 5.707 5.707 5.707 Å, 148.44 133.20 57.55°
Fractional positions:
Al 0.000 0.000 0.000
Cd 0.256 0.756 0.500
Cd 0.744 0.244 0.500
Re 0.500 0.500 0.000

=====

(2)
This record from Alexandria via LeMat-Bulk describes a relaxed structure of Ce5CoSb2. The functional is PBE-GGA.

## Properties
- Polymorph energy (0 for the lowest one): 0.138 eV/atom
- Total magnetization: 1.0 μB per formula unit
- Raw total energy: -48.9 eV/cell
- ΔE_f (raw): -46.6 kJ/mol of atoms
- Fermi-level density of states: 16.73 states/eV per cell

Cell: 6.575 6.575 6.575 Å, 114.24 114.24 100.30°
Fractional positions:
Ce 0.000 0.000 0.000
Ce 0.066 0.066 0.494
Ce 0.066 0.572 0.000
Ce 0.572 0.066 0.000
Ce 0.572 0.572 0.506
Co 0.330 0.330 0.000
Sb 0.065 0.565 0.500
Sb 0.565 0.065 0.500

=====

(3)
This record from Alexandria via LeMat-Bulk describes a relaxed structure of TiRe2Hg. The functional is PBE-GGA.

## Properties
- Total magnetization: 0.0 μB per formula unit
- Raw total energy: -60.3 eV/cell
- Energy of formation from the pure elements: 2.92 eV per formula unit
- Fermi-level density of states: 7.41 states/eV per cell

Cell: 10.035 10.035 10.035 Å, 157.45 157.45 32.10°
Fractional positions:
Ti 0.000 0.000 0.000
Ti 0.750 0.250 0.500
Re 0.060 0.625 0.935
Re 0.375 0.310 0.435
Re 0.690 0.125 0.065
Re 0.875 0.940 0.565
Hg 0.250 0.750 0.500
Hg 0.500 0.500 0.000

=====

(4)
This record from Alexandria via LeMat-Bulk describes a relaxed structure of Al2WAu. The functional is PBE-GGA.

## Properties
- Polymorph energy (0 for the lowest one): 0.209 eV/atom
- Total magnetization: 0.0 μB per formula unit
- Raw total energy: -23.4 eV/cell
- Energy of formation from the pure elements: 0.33 eV per formula unit
- Fermi-level density of states: 2.54 states/eV per cell

Cell: 4.831 4.831 4.831 Å, 130.50 130.50 72.61°
Fractional positions:
Al 0.250 0.750 0.500
Al 0.750 0.250 0.500
W 0.000 0.000 0.000
Au 0.500 0.500 0.000

=====

(5)
This record from Alexandria via LeMat-Bulk describes a relaxed structure of Rb2Dy2USe6. The functional is PBE-GGA.

## Properties
- Total magnetization: 2.0 μB per formula unit
- Raw total energy: -60.8 eV/cell
- ΔE_f (raw): -153.4 kJ/mol of atoms
- Fermi-level density of states: 6.98 states/eV per cell

Cell: 7.242 7.242 8.551 Å, 98.24 98.24 119.92°
Fractional positions:
Rb 0.168 0.832 0.000
Rb 0.832 0.168 0.000
Dy 0.333 0.667 0.500
Dy 0.667 0.333 0.500
U 0.000 0.000 0.500
Se 0.065 0.394 0.691
Se 0.265 0.265 0.309
Se 0.394 0.065 0.691
Se 0.606 0.935 0.309
Se 0.735 0.735 0.691
Se 0.935 0.606 0.309

=====

(6)
This record from Alexandria via LeMat-Bulk describes a relaxed structure of PuAgPd2. The functional is PBE-GGA.

## Properties
- Polymorph energy (0 for the lowest one): 0.076 eV/atom
- Total magnetization: 5.2 μB per formula unit
- Raw total energy: -28.6 eV/cell
- Energy of formation from the pure elements: -1.07 eV per formula unit
- Fermi-level density of states: 12.13 states/eV per cell

Cell: 3.496 3.496 6.246 Å, 90.00 90.00 90.00°
Fractional positions:
Pu 0.000 0.000 0.000
Ag 0.000 0.000 0.500
Pd 0.500 0.500 0.266
Pd 0.500 0.500 0.734